DFT (PBE) results for a geometry-optimized SmEr2Rh structure.

## Properties
For the total DFT energy (no corrections), the calculation gives -5.824 eV per atom. For the volume, the calculation gives 429 Å³/cell. Its energy above the most stable polymorph in this dataset is 0.000 eV/atom. As for the formation enthalpy at 0 K: -525 meV per atom.

a b c (Å): 6.362 7.170 9.402
angles (deg): 90.00 90.00 90.00
Sites, in units of the cell vectors:
Rh 0.934 0.617 0.750
Rh 0.434 0.883 0.250
Rh 0.566 0.117 0.750
Rh 0.066 0.383 0.250
Er 0.170 0.676 0.436
Er 0.170 0.676 0.064
Er 0.670 0.824 0.564
Er 0.830 0.324 0.936
Er 0.670 0.824 0.936
Er 0.330 0.176 0.436
Er 0.330 0.176 0.064
Er 0.830 0.324 0.564
Sm 0.636 0.534 0.250
Sm 0.364 0.466 0.750
Sm 0.864 0.034 0.250
Sm 0.136 0.966 0.750

=====

DFT (PBE) results for a geometry-optimized AcCeIrRh structure.

## Properties
For the total DFT energy (no corrections), the calculation gives -7.114 eV per atom. For the volume, the calculation gives 93 Å³/cell. As for the formation enthalpy at 0 K: -551 meV per atom.

a b c (Å): 5.094 5.094 5.094
angles (deg): 60.00 60.00 60.00
Sites, in units of the cell vectors:
Ir 0.000 0.000 0.000
Ac 0.250 0.250 0.250
Rh 0.500 0.500 0.500
Ce 0.750 0.750 0.750

=====

DFT (PBE) results for a geometry-optimized Ac4AgGe3 structure.

## Properties
For the total DFT energy (no corrections), the calculation gives -4.726 eV per atom. For the volume, the calculation gives 247 Å³/cell. As for the formation enthalpy at 0 K: -584 meV per atom.

a b c (Å): 4.677 4.420 11.960
angles (deg): 90.00 90.00 90.00
Sites, in units of the cell vectors:
Ge 0.500 0.000 0.922
Ge 0.000 0.500 0.576
Ge 0.000 0.000 0.428
Ag 0.500 0.500 0.069
Ac 0.000 0.500 0.860
Ac 0.500 0.500 0.365
Ac 0.000 0.000 0.140
Ac 0.500 0.000 0.640

=====

DFT (PBE) results for a geometry-optimized KTiSn2Bi structure.

## Properties
For the total DFT energy (no corrections), the calculation gives -4.304 eV per atom. For the volume, the calculation gives 160 Å³/cell. As for the formation enthalpy at 0 K: -129 meV per atom.

a b c (Å): 5.404 5.404 5.463
angles (deg): 90.00 90.00 90.00
Sites, in units of the cell vectors:
Sn 0.000 0.500 0.000
Sn 0.500 0.000 0.000
K 0.500 0.500 0.500
Ti 0.000 0.000 0.000
Bi 0.000 0.000 0.500

=====

DFT (PBE) results for a geometry-optimized InMoRh3 structure.

## Properties
For the total DFT energy (no corrections), the calculation gives -6.261 eV per atom. For the volume, the calculation gives 104 Å³/cell. Its energy above the most stable polymorph in this dataset is 0.000 eV/atom. As for the formation enthalpy at 0 K: 864 meV per atom.

a b c (Å): 4.708 4.708 4.708
angles (deg): 90.00 90.00 90.00
Sites, in units of the cell vectors:
In 0.500 0.500 0.500
Rh 0.000 0.500 0.000
Rh 0.000 0.000 0.500
Rh 0.500 0.000 0.000
Mo 0.000 0.000 0.000

=====

DFT (PBE) results for a geometry-optimized Nd2Sm5Mg structure.

## Properties
For the total DFT energy (no corrections), the calculation gives -4.339 eV per atom. For the volume, the calculation gives 261 Å³/cell. Its energy above the most stable polymorph in this dataset is 0.000 eV/atom. As for the formation enthalpy at 0 K: 2 meV per atom.

a b c (Å): 7.161 7.161 7.186
angles (deg): 119.89 119.89 90.00
Sites, in units of the cell vectors:
Sm 0.222 0.222 0.944
Sm 0.222 0.722 0.944
Sm 0.722 0.222 0.944
Sm 0.722 0.722 0.944
Sm 0.722 0.722 0.444
Nd 0.222 0.722 0.444
Nd 0.722 0.222 0.444
Mg 0.222 0.222 0.444

=====

DFT (PBE) results for a geometry-optimized Sr4Li3Pt structure.

## Properties
For the total DFT energy (no corrections), the calculation gives -2.535 eV per atom. For the volume, the calculation gives 270 Å³/cell. As for the formation enthalpy at 0 K: -222 meV per atom.

a b c (Å): 4.572 4.718 12.521
angles (deg): 90.00 90.00 90.00
Sites, in units of the cell vectors:
Sr 0.500 0.000 0.654
Sr 0.500 0.500 0.323
Sr 0.000 0.000 0.133
Sr 0.000 0.500 0.882
Li 0.000 0.500 0.559
Li 0.000 0.000 0.428
Li 0.500 0.000 0.958
Pt 0.500 0.500 0.063

=====

DFT (PBE) results for a geometry-optimized Na2Pm2Hg3 structure.

## Properties
For the total DFT energy (no corrections), the calculation gives -2.197 eV per atom. For the volume, the calculation gives 206 Å³/cell. As for the formation enthalpy at 0 K: -334 meV per atom.

a b c (Å): 3.786 3.749 14.660
angles (deg): 90.00 82.58 90.00
Sites, in units of the cell vectors:
Hg 0.000 0.000 0.000
Hg 0.131 0.000 0.738
Hg 0.869 0.000 0.262
Pm 0.434 0.500 0.133
Pm 0.566 0.500 0.867
Na 0.305 0.500 0.390
Na 0.695 0.500 0.610

=====

> Which of these has the highest volume?

SmEr2Rh